CsMnF3 | PBE with a Hubbard U | optimized geometry

Results
As for the space-group type: Pnma. The value obtained for the size of the total moment is 5.00 μB/f.u. The total energy is -0.1959 Ha/atom. Its theoretical density is 4.321 Mg/m³.

```
20
Lattice="6.7927 0.0000 0.0000 0.0000 7.3715 0.0000 0.0000 0.0000 7.5171" Properties=species:S:1:pos:R:3 pbc="T T T"
F 2.7985 3.2270 2.7760
F 4.9811 5.5287 1.8732
F 1.5847 5.5287 1.8853
Mn 6.7770 5.5287 0.4752
Cs 3.3963 3.6858 0.0000
Mn 0.0157 1.8429 7.0418
Mn 3.4120 1.8429 4.2338
F 3.9942 4.1445 4.7411
Cs 0.0000 0.0000 3.7585
Cs 0.0000 3.6858 3.7585
F 0.5978 4.1445 6.5345
Mn 3.3807 5.5287 3.2833
Cs 3.3963 0.0000 0.0000
F 1.8116 1.8429 5.6439
F 6.1948 3.2270 0.9826
F 2.7985 0.4587 2.7760
F 6.1948 0.4587 0.9826
F 0.5978 6.9128 6.5345
F 3.9942 6.9128 4.7411
F 5.2079 1.8429 5.6317
```